{"formula": "TlCoB2F8", "functional": "GGA+U", "state": "relaxed", "cell": [[2.538, 1.466, 7.746], [-2.538, 1.466, 7.746], [0.000, -2.931, 7.746]], "species": ["Tl", "Co", "B", "B", "F", "F", "F", "F", "F", "F", "F", "F"], "frac_coords": [[0.000, 0.000, 0.000], [0.500, 0.500, 0.500], [0.243, 0.243, 0.243], [0.757, 0.757, 0.757], [0.048, 0.518, 0.764], [0.236, 0.952, 0.482], [0.304, 0.304, 0.304], [0.482, 0.236, 0.952], [0.518, 0.764, 0.048], [0.696, 0.696, 0.696], [0.764, 0.048, 0.518], [0.952, 0.482, 0.236]], "e_tot_ev_per_atom": -5.405, "magmom_total_mub_per_cell": 2.000}